[1]
Entry from Alexandria: Ac15La2Nd2 after structural relaxation (PBE).

## Properties
Crystal system: trigonal
Total DFT energy (no corrections): -3.9771 eV per atom

a b c (Å): 9.6805 9.6805 9.6805
angles (deg): 80.05 80.05 80.05
With the nearest neighbours (Å) after each atom.
Fractional positions:
Ac 0.0000 0.5000 0.0000  8 Ac 3.66-3.75, 2 Nd 3.90
Ac 0.0000 0.0000 0.5000  8 Ac 3.66-3.75, 2 Nd 3.90
Ac 0.5000 0.0000 0.0000  8 Ac 3.66-3.75, 2 Nd 3.90
Ac 0.2980 0.0000 0.7020  6 Ac 3.71-3.75, 2 Nd 4.09
Ac 0.7020 0.2980 0.0000  6 Ac 3.71-3.75, 2 Nd 4.09
Ac 0.0000 0.7020 0.2980  6 Ac 3.71-3.75, 2 Nd 4.09
Ac 0.2980 0.7020 0.0000  6 Ac 3.71-3.75, 2 Nd 4.09
Ac 0.0000 0.2980 0.7020  6 Ac 3.71-3.75, 2 Nd 4.09
Ac 0.7020 0.0000 0.2980  6 Ac 3.71-3.75, 2 Nd 4.09
Ac 0.3626 0.8535 0.3626  6 Ac 3.66-3.71
Ac 0.3626 0.3626 0.8535  6 Ac 3.66-3.71
Ac 0.8535 0.3626 0.3626  6 Ac 3.66-3.71
Ac 0.6374 0.1465 0.6374  6 Ac 3.66-3.71
Ac 0.6374 0.6374 0.1465  6 Ac 3.66-3.71
Ac 0.1465 0.6374 0.6374  6 Ac 3.66-3.71
La 0.6867 0.6867 0.6867  15 Ac 4.34-4.71, 1 Nd 4.37
La 0.3133 0.3133 0.3133  15 Ac 4.34-4.71, 1 Nd 4.37
Nd 0.9112 0.9112 0.9112  1 Nd 3.45
Nd 0.0888 0.0888 0.0888  1 Nd 3.45


[2]
Entry from Alexandria: AcLa2Nd6 after structural relaxation (PBE).

## Properties
Crystal system: monoclinic
Relative energy among the computed polymorphs: 0 meV/atom
Total DFT energy (no corrections): -4.6864 eV per atom

a b c (Å): 3.6641 10.1732 12.5517
angles (deg): 113.91 125.66 90.00
With the nearest neighbours (Å) after each atom.
Fractional positions:
Ac 0.0000 0.0000 0.0000  2 Ac 3.66, 12 Nd 3.86-3.88
La 0.3333 0.3333 0.6667  2 La 3.66, 12 Nd 3.84-3.86
La 0.6667 0.6667 0.3333  2 La 3.66, 12 Nd 3.84-3.86
Nd 0.8294 0.0006 0.6647  5 Nd 3.35-3.66
Nd 0.1706 0.3359 0.3353  5 Nd 3.35-3.66
Nd 0.1706 0.9994 0.3353  5 Nd 3.35-3.66
Nd 0.5000 0.3345 0.0000  5 Nd 3.37-3.66
Nd 0.8294 0.6641 0.6647  5 Nd 3.35-3.66
Nd 0.5000 0.6655 0.0000  5 Nd 3.37-3.66


[3]
Entry from Alexandria: AcLa2Nd5 after structural relaxation (PBE).

## Properties
Crystal system: orthorhombic
Total DFT energy (no corrections): -4.7054 eV per atom

a b c (Å): 5.3156 7.4448 14.8992
angles (deg): 90.00 90.00 90.00
With the nearest neighbours (Å) after each atom.
Fractional positions:
Ac 0.0000 0.0000 0.5000  8 Nd 3.72-3.76, 4 La 3.77
Ac 0.0000 0.5000 0.0000  8 Nd 3.72-3.76, 4 La 3.77
La 0.5000 0.2541 0.6274  10 Nd 3.66-3.79, 2 Ac 3.77
La 0.5000 0.7459 0.3726  10 Nd 3.66-3.79, 2 Ac 3.77
La 0.5000 0.2459 0.1274  10 Nd 3.66-3.79, 2 Ac 3.77
La 0.5000 0.7541 0.8726  10 Nd 3.66-3.79, 2 Ac 3.77
Nd 0.0000 0.0000 0.0000  6 Nd 3.69-3.76, 2 Ac 3.72, 4 La 3.74
Nd 0.0000 0.5000 0.5000  6 Nd 3.69-3.76, 2 Ac 3.72, 4 La 3.74
Nd 0.0000 0.5030 0.7473  7 Nd 3.69-3.76, 4 La 3.70-3.75, 1 Ac 3.76
Nd 0.0000 0.4970 0.2527  7 Nd 3.69-3.76, 4 La 3.70-3.75, 1 Ac 3.76
Nd 0.0000 0.9970 0.2473  7 Nd 3.69-3.76, 4 La 3.70-3.75, 1 Ac 3.76
Nd 0.0000 0.0030 0.7527  7 Nd 3.69-3.76, 4 La 3.70-3.75, 1 Ac 3.76
Nd 0.5000 0.2508 0.8732  4 La 3.66-3.79, 6 Nd 3.70-3.76, 2 Ac 3.75
Nd 0.5000 0.7492 0.1268  4 La 3.66-3.79, 6 Nd 3.70-3.76, 2 Ac 3.75
Nd 0.5000 0.2492 0.3732  4 La 3.66-3.79, 6 Nd 3.70-3.76, 2 Ac 3.75
Nd 0.5000 0.7508 0.6268  4 La 3.66-3.79, 6 Nd 3.70-3.76, 2 Ac 3.75


[4]
Entry from Alexandria: Ac2La3Nd after structural relaxation (PBE).

## Properties
Crystal system: orthorhombic
Relative energy among the computed polymorphs: 47 meV/atom
Total DFT energy (no corrections): -4.5609 eV per atom

a b c (Å): 6.0701 10.5319 7.3598
angles (deg): 90.00 90.00 90.00
With the nearest neighbours (Å) after each atom.
Fractional positions:
Ac 0.5000 0.8330 0.2508  5 La 3.51-3.69
Ac 0.0000 0.3330 0.2492  5 La 3.51-3.69
Ac 0.0000 0.6670 0.7508  5 La 3.51-3.69
Ac 0.5000 0.1670 0.7492  5 La 3.51-3.69
La 0.0000 0.0000 0.0000  2 Nd 3.68, 6 Ac 3.96, 6 La 3.96-3.97
La 0.5000 0.5000 0.5000  2 Nd 3.68, 6 Ac 3.96, 6 La 3.96-3.97
La 0.5000 0.8337 0.7499  5 Ac 3.51-3.69
La 0.5000 0.1663 0.2501  5 Ac 3.51-3.69
La 0.0000 0.3337 0.7501  5 Ac 3.51-3.69
La 0.0000 0.6663 0.2499  5 Ac 3.51-3.69
Nd 0.0000 0.0000 0.5000  8 La 3.68-3.97, 6 Ac 3.96
Nd 0.5000 0.5000 0.0000  8 La 3.68-3.97, 6 Ac 3.96


[5]
Entry from Alexandria: Ac2La4Nd3 after structural relaxation (PBE).

## Properties
Crystal system: trigonal
Relative energy among the computed polymorphs: 0 meV/atom
Total DFT energy (no corrections): -4.6211 eV per atom

a b c (Å): 3.7873 3.7873 28.1193
angles (deg): 90.00 90.00 120.00
With the nearest neighbours (Å) after each atom.
Fractional positions:
Ac 0.6667 0.3333 0.0921  1 La 3.66, 3 Nd 3.77, 6 Ac 3.79
Ac 0.6667 0.3333 0.8702  6 Ac 3.79, 3 Nd 3.85, 3 La 3.89
La 0.0000 0.0000 0.5430  3 Nd 3.72, 9 La 3.75-3.79
La 0.6667 0.3333 0.4348  9 La 3.75-3.79, 3 Nd 3.76
La 0.6667 0.3333 0.2222  3 Nd 3.65, 1 Ac 3.66, 6 La 3.79
La 0.0000 0.0000 0.7559  3 Nd 3.70, 6 La 3.79, 3 Ac 3.89
Nd 0.0000 0.0000 0.9831  6 Ac 3.77-3.85, 6 Nd 3.79
Nd 0.0000 0.0000 0.3259  6 La 3.65-3.76, 6 Nd 3.79
Nd 0.6667 0.3333 0.6499  6 La 3.70-3.72, 6 Nd 3.79


[6]
Entry from Alexandria: Ac4La4Nd3 after structural relaxation (PBE).

## Properties
Crystal system: orthorhombic
Total DFT energy (no corrections): -4.4129 eV per atom

a b c (Å): 3.7377 11.9783 11.7144
angles (deg): 120.75 99.18 90.00
With the nearest neighbours (Å) after each atom.
Fractional positions:
Ac 0.7997 0.2997 0.5993  6 La 3.72-3.75, 2 Ac 3.74, 1 Nd 3.96
Ac 0.2003 0.7003 0.4007  6 La 3.72-3.75, 2 Ac 3.74, 1 Nd 3.96
Ac 0.5000 0.7718 0.0000  2 La 3.47, 2 Ac 3.74, 6 Nd 3.75-3.88
Ac 0.5000 0.2282 0.0000  2 La 3.47, 2 Ac 3.74, 6 Nd 3.75-3.88
La 0.6752 0.4074 0.3504  4 Ac 3.47-3.75, 4 La 3.53-3.74, 2 Nd 3.65
La 0.3248 0.0570 0.6496  4 Ac 3.47-3.75, 4 La 3.53-3.74, 2 Nd 3.65
La 0.3248 0.5926 0.6496  4 Ac 3.47-3.75, 4 La 3.53-3.74, 2 Nd 3.65
La 0.6752 0.9430 0.3504  4 Ac 3.47-3.75, 4 La 3.53-3.74, 2 Nd 3.65
Nd 0.8978 0.8978 0.7955  4 La 3.65, 3 Nd 3.74-4.05, 4 Ac 3.88
Nd 0.1022 0.1022 0.2045  4 La 3.65, 3 Nd 3.74-4.05, 4 Ac 3.88
Nd 0.0000 0.5000 0.0000  2 Nd 3.74, 6 Ac 3.75-3.96


[7]
Entry from Alexandria: Ac5La4Nd4 after structural relaxation (PBE).

## Properties
Crystal system: tetragonal
Total DFT energy (no corrections): -4.5336 eV per atom

a b c (Å): 5.3783 10.1267 10.1267
angles (deg): 85.96 74.60 74.60
With the nearest neighbours (Å) after each atom.
Fractional positions:
Ac 0.6966 0.8432 0.7636  5 Nd 3.72-3.85, 3 La 3.79-3.80, 4 Ac 3.86-3.92
Ac 0.3034 0.1568 0.2364  5 Nd 3.72-3.85, 3 La 3.79-3.80, 4 Ac 3.86-3.92
Ac 0.0000 0.0000 0.0000  8 Ac 3.86, 4 Nd 3.89
Ac 0.5398 0.7636 0.1568  5 Nd 3.72-3.85, 3 La 3.79-3.80, 4 Ac 3.86-3.92
Ac 0.4602 0.2364 0.8432  5 Nd 3.72-3.85, 3 La 3.79-3.80, 4 Ac 3.86-3.92
La 0.9255 0.4617 0.6873  5 La 3.73-3.77, 3 Ac 3.79-3.80, 4 Nd 3.81-3.88
La 0.6128 0.3127 0.4617  5 La 3.73-3.77, 3 Ac 3.79-3.80, 4 Nd 3.81-3.88
La 0.0745 0.5383 0.3127  5 La 3.73-3.77, 3 Ac 3.79-3.80, 4 Nd 3.81-3.88
La 0.3872 0.6873 0.5383  5 La 3.73-3.77, 3 Ac 3.79-3.80, 4 Nd 3.81-3.88
Nd 0.7655 0.3903 0.0787  6 Ac 3.72-3.89, 2 Nd 3.77, 4 La 3.81-3.88
Nd 0.2345 0.6097 0.9213  6 Ac 3.72-3.89, 2 Nd 3.77, 4 La 3.81-3.88
Nd 0.8442 0.9213 0.3903  6 Ac 3.72-3.89, 2 Nd 3.77, 4 La 3.81-3.88
Nd 0.1558 0.0787 0.6097  6 Ac 3.72-3.89, 2 Nd 3.77, 4 La 3.81-3.88


[8]
Entry from Alexandria: AcLa6Nd8 after structural relaxation (PBE).

## Properties
Crystal system: trigonal
Relative energy among the computed polymorphs: 0 meV/atom
Total DFT energy (no corrections): -4.6556 eV per atom

a b c (Å): 9.6474 9.6474 8.8450
angles (deg): 56.95 56.95 60.00
With the nearest neighbours (Å) after each atom.
Fractional positions:
Ac 0.0000 0.0000 0.0000  6 La 3.66, 6 Nd 4.03
La 0.4473 0.8943 0.9301  3 Nd 3.28-3.61, 1 La 3.59, 1 Ac 3.66
La 0.1057 0.2717 0.0699  3 Nd 3.28-3.61, 1 La 3.59, 1 Ac 3.66
La 0.2717 0.5527 0.0699  3 Nd 3.28-3.61, 1 La 3.59, 1 Ac 3.66
La 0.7283 0.4473 0.9301  3 Nd 3.28-3.61, 1 La 3.59, 1 Ac 3.66
La 0.8943 0.7283 0.9301  3 Nd 3.28-3.61, 1 La 3.59, 1 Ac 3.66
La 0.5527 0.1057 0.0699  3 Nd 3.28-3.61, 1 La 3.59, 1 Ac 3.66
Nd 0.3504 0.2270 0.5046  7 Nd 3.56-3.87, 3 La 3.59-3.80
Nd 0.7730 0.0821 0.4954  7 Nd 3.56-3.87, 3 La 3.59-3.80
Nd 0.0821 0.6496 0.4954  7 Nd 3.56-3.87, 3 La 3.59-3.80
Nd 0.5712 0.5712 0.2863  1 Nd 2.94, 3 La 3.28
Nd 0.4288 0.4288 0.7137  1 Nd 2.94, 3 La 3.28
Nd 0.9179 0.3504 0.5046  7 Nd 3.56-3.87, 3 La 3.59-3.80
Nd 0.2270 0.9179 0.5046  7 Nd 3.56-3.87, 3 La 3.59-3.80
Nd 0.6496 0.7730 0.4954  7 Nd 3.56-3.87, 3 La 3.59-3.80


[9]
Entry from Alexandria: Ac4La7Nd after structural relaxation (PBE).

## Properties
Crystal system: triclinic
Total DFT energy (no corrections): -4.6205 eV per atom

a b c (Å): 7.6926 6.6788 12.2249
angles (deg): 79.45 51.14 89.93
With the nearest neighbours (Å) after each atom.
Fractional positions:
Ac 0.4292 0.7215 0.3292  1 Nd 3.75, 8 La 3.76-3.94, 3 Ac 3.85-3.91
Ac 0.5708 0.2785 0.6708  1 Nd 3.75, 8 La 3.76-3.94, 3 Ac 3.85-3.91
Ac 0.8281 0.7727 0.6715  8 La 3.75-3.89, 4 Ac 3.85-3.91
Ac 0.1719 0.2273 0.3285  8 La 3.75-3.89, 4 Ac 3.85-3.91
La 0.7592 0.4975 0.9961  7 La 3.72-3.93, 3 Ac 3.75-3.81, 2 Nd 3.81-3.86
La 0.2408 0.5025 0.0039  7 La 3.72-3.93, 3 Ac 3.75-3.81, 2 Nd 3.81-3.86
La 0.0800 0.2741 0.6732  5 La 3.72-3.90, 1 Nd 3.73, 6 Ac 3.76-3.94
La 0.9200 0.7259 0.3268  5 La 3.72-3.90, 1 Nd 3.73, 6 Ac 3.76-3.94
La 0.3267 0.7808 0.6724  6 La 3.73-3.90, 1 Nd 3.74, 5 Ac 3.81-3.85
La 0.5000 0.0000 0.0000  6 La 3.77-3.89, 4 Ac 3.78-3.80, 2 Nd 3.85
La 0.6733 0.2192 0.3276  6 La 3.73-3.90, 1 Nd 3.74, 5 Ac 3.81-3.85
Nd 0.0000 0.0000 0.0000  10 La 3.73-3.86, 2 Ac 3.75


[10]
Entry from Alexandria: AcLa8Nd3 after structural relaxation (PBE).

## Properties
Crystal system: orthorhombic
Total DFT energy (no corrections): -4.5466 eV per atom

a b c (Å): 9.0217 9.0217 9.0217
angles (deg): 97.31 98.89 135.90
With the nearest neighbours (Å) after each atom.
Fractional positions:
Ac 0.0000 0.0000 0.0000  8 La 3.60-3.66
La 0.5006 0.2218 0.2789  1 La 3.00, 1 Nd 3.21
La 0.4994 0.7783 0.7212  1 La 3.00, 1 Nd 3.21
La 0.0571 0.7782 0.2788  1 La 3.00, 1 Nd 3.21
La 0.9429 0.2217 0.7211  1 La 3.00, 1 Nd 3.21
La 0.1766 0.2529 0.4300  6 La 3.53-3.80, 2 Nd 3.60-3.80, 1 Ac 3.66
La 0.8234 0.2534 0.0763  6 La 3.53-3.80, 2 Nd 3.60-3.80, 1 Ac 3.66
La 0.1771 0.7471 0.9237  6 La 3.53-3.80, 2 Nd 3.60-3.80, 1 Ac 3.66
La 0.8229 0.7466 0.5700  6 La 3.53-3.80, 2 Nd 3.60-3.80, 1 Ac 3.66
Nd 0.5000 0.7708 0.2708  10 La 3.80-4.06
Nd 0.5000 0.2292 0.7292  10 La 3.80-4.06
Nd 0.0000 0.5000 0.5000  4 La 3.21


[11]
Entry from Alexandria: Ac2La4Nd3 after structural relaxation (PBE).

## Properties
Crystal system: monoclinic
Relative energy among the computed polymorphs: 48 meV/atom
Total DFT energy (no corrections): -4.5730 eV per atom

a b c (Å): 9.2162 8.8588 9.0311
angles (deg): 90.00 90.00 110.81
With the nearest neighbours (Å) after each atom.
Fractional positions:
Ac 0.5475 0.1715 0.3469  7 La 3.69-3.89, 1 Ac 3.97, 1 Nd 4.07
Ac 0.9525 0.8285 0.8469  7 La 3.69-3.89, 1 Ac 3.97, 1 Nd 4.07
Ac 0.4525 0.8285 0.6531  7 La 3.69-3.89, 1 Ac 3.97, 1 Nd 4.07
Ac 0.0475 0.1715 0.1531  7 La 3.69-3.89, 1 Ac 3.97, 1 Nd 4.07
La 0.8681 0.0860 0.5375  4 Nd 3.31-3.54, 1 La 3.37
La 0.6319 0.9140 0.0375  4 Nd 3.31-3.54, 1 La 3.37
La 0.1319 0.9140 0.4625  4 Nd 3.31-3.54, 1 La 3.37
La 0.3681 0.0860 0.9625  4 Nd 3.31-3.54, 1 La 3.37
La 0.8546 0.4857 0.1400  5 Nd 3.38-3.56, 1 La 3.63, 1 Ac 3.69
La 0.6454 0.5143 0.6400  5 Nd 3.38-3.56, 1 La 3.63, 1 Ac 3.69
La 0.1454 0.5143 0.8600  5 Nd 3.38-3.56, 1 La 3.63, 1 Ac 3.69
La 0.3546 0.4857 0.3600  5 Nd 3.38-3.56, 1 La 3.63, 1 Ac 3.69
Nd 0.0000 0.5000 0.5000  6 La 3.45-3.55
Nd 0.5000 0.5000 0.0000  6 La 3.45-3.55
Nd 0.7543 0.2435 0.8303  6 La 3.31-3.56
Nd 0.7457 0.7565 0.3303  6 La 3.31-3.56
Nd 0.2457 0.7565 0.1697  6 La 3.31-3.56
Nd 0.2543 0.2435 0.6697  6 La 3.31-3.56


[12]
Entry from Alexandria: AcLa5Nd8 after structural relaxation (PBE).

## Properties
Crystal system: triclinic
Total DFT energy (no corrections): -4.7323 eV per atom

a b c (Å): 8.9261 7.3136 9.2894
angles (deg): 101.37 114.35 101.88
With the nearest neighbours (Å) after each atom.
Fractional positions:
Ac 0.2514 0.4958 0.8002  7 Nd 3.51-3.89, 5 La 3.65-3.89
La 0.1205 0.2828 0.0917  7 Nd 3.45-3.81, 2 La 3.74-3.79, 1 Ac 3.83
La 0.9949 0.0733 0.3771  8 Nd 3.46-3.82, 2 La 3.74-3.75
La 0.8302 0.6053 0.6583  4 Nd 3.26-3.64
La 0.4167 0.9667 0.5196  3 Nd 3.27-3.65, 1 La 3.50
La 0.2496 0.9951 0.8008  4 La 3.50-3.88, 6 Nd 3.65-3.91, 2 Ac 3.65-3.66
Nd 0.1246 0.7885 0.0925  6 La 3.50-3.78, 5 Nd 3.72-3.90, 1 Ac 3.80
Nd 0.8371 0.1058 0.6612  4 La 3.27-3.64
Nd 0.5664 0.1835 0.2422  5 La 3.65-3.91, 8 Nd 3.65-3.90
Nd 0.6916 0.3906 0.9364  8 Nd 3.62-3.92, 4 La 3.76-3.91, 1 Ac 3.89
Nd 0.5678 0.6858 0.2475  8 Nd 3.65-3.92, 1 Ac 3.69, 4 La 3.79-3.93
Nd 0.6895 0.8881 0.9358  5 La 3.63-3.90, 7 Nd 3.64-3.92, 1 Ac 3.87
Nd 0.4101 0.4616 0.5112  3 La 3.26-3.65, 1 Ac 3.51
Nd 0.9996 0.5771 0.3755  6 La 3.52-3.88, 5 Nd 3.62-3.85, 1 Ac 3.89


no.,calculated volume (Å³ per cell),Fermi-level density of states (states/eV/cell)
1,870.5,36.248
2,329.5,13.651
3,589.6,28.189
4,470.5,17.557
5,349.3,18.234
6,442.9,17.884
7,512.7,25.916
8,553.8,23.844
9,475.5,19.109
10,473.6,18.668
11,689.2,25.958
12,512.9,21.399